# YAg2Au6

YAg2Au6 after structural relaxation (PBE, the Alexandria database).

The value obtained for the magnetization is 0.000 Bohr magnetons per cell.

The structure belongs to space group C2/c (No. 15); the cell edges are 13.4500, 10.2181 and 5.1353 Å and the angles 90.00°, 99.59° and 90.00°. The asymmetric unit holds Y at (0.0000, 0.1363, 0.2500), Ag at (0.1657, 0.3679, 0.0921), Au at (0.0559, 0.3821, 0.5375), Au at (0.1145, 0.1204, 0.8003) and Au at (0.2289, 0.1235, 0.3578).


# YAgAu2

YAgAu2 after structural relaxation (PBE, the Alexandria database).

The value obtained for the magnetization is 0.000 Bohr magnetons per cell.

The structure belongs to space group P4/mmm (No. 123); the cell edges are 4.5647, 4.5647 and 4.0064 Å and the angles 90.00°, 90.00° and 90.00°. The asymmetric unit holds Y at (0.0000, 0.0000, 0.0000), Ag at (0.5000, 0.5000, 0.0000) and Au at (0.0000, 0.5000, 0.5000).


# YAg2Au2

YAg2Au2 after structural relaxation (PBE, the Alexandria database).

As for the energy above the lowest structure with this stoichiometry: 141.6 meV per atom. The value obtained for the magnetization is 0.000 Bohr magnetons per cell.

The structure belongs to space group C2/m (No. 12); the cell edges are 5.1691, 7.5231 and 5.6071 Å and the angles 90.00°, 90.32° and 90.00°. The asymmetric unit holds Y at (0.0000, 0.0000, 0.0000), Ag at (0.0000, 0.1781, 0.5000) and Au at (0.0014, 0.5000, 0.2483).


# Y3AgAu

Y3AgAu after structural relaxation (PBE, the Alexandria database).

As for the energy above the lowest structure with this stoichiometry: 0.0 meV per atom. The value obtained for the magnetization is 2.009 Bohr magnetons per cell.

The structure belongs to space group Cmcm (No. 63); the cell edges are 5.0973, 19.7659 and 5.0980 Å and the angles 90.00°, 90.00° and 90.00°. The asymmetric unit holds Y at (0.0000, 0.0651, 0.2500), Y at (0.0000, 0.2498, 0.2500), Y at (0.0000, 0.4340, 0.2500), Ag at (0.0000, 0.1571, 0.7500) and Au at (0.0000, 0.3404, 0.7500).


# Y4Ag3Au2

Y4Ag3Au2 after structural relaxation (PBE, the Alexandria database).

The value obtained for the magnetization is 0.000 Bohr magnetons per cell.

The structure belongs to space group C2/m (No. 12); the cell edges are 8.6327, 4.9865 and 9.7277 Å and the angles 90.00°, 90.05° and 90.00°. The asymmetric unit holds Y at (0.0005, 0.0000, 0.3353), Y at (0.1664, 0.5000, 0.8838), Ag at (0.0000, 0.0000, 0.0000), Ag at (0.1667, 0.5000, 0.5027) and Au at (0.1672, 0.5000, 0.1920).


# Y2Ag2Au

Y2Ag2Au after structural relaxation (PBE, the Alexandria database).

As for the energy above the lowest structure with this stoichiometry: 131.9 meV per atom. The value obtained for the magnetization is 0.000 Bohr magnetons per cell.

The structure belongs to space group P4/mbm (No. 127); the cell edges are 7.7094, 7.7094 and 3.9036 Å and the angles 90.00°, 90.00° and 90.00°. The asymmetric unit holds Y at (0.1765, 0.3235, 0.0000), Ag at (0.1264, 0.6264, 0.5000) and Au at (0.0000, 0.0000, 0.5000).


# Y3Ag2Au

Y3Ag2Au after structural relaxation (PBE, the Alexandria database).

The value obtained for the magnetization is 0.000 Bohr magnetons per cell.

The structure belongs to space group P-3m1 (No. 164); the cell edges are 5.1287, 5.1287 and 6.3079 Å and the angles 90.00°, 90.00° and 120.00°. The asymmetric unit holds Y at (0.0000, 0.0000, 0.0000), Y at (0.3333, 0.6667, 0.6594), Ag at (0.3333, 0.6667, 0.1526) and Au at (0.0000, 0.0000, 0.5000).


# Y4Ag3Au

Y4Ag3Au after structural relaxation (PBE, the Alexandria database).

The value obtained for the magnetization is 0.000 Bohr magnetons per cell.

The structure belongs to space group P4/mmm (No. 123); the cell edges are 3.6328, 3.6328 and 14.5635 Å and the angles 90.00°, 90.00° and 90.00°. The asymmetric unit holds Y at (0.0000, 0.0000, 0.1217), Y at (0.0000, 0.0000, 0.3740), Ag at (0.5000, 0.5000, 0.2498), Ag at (0.5000, 0.5000, 0.5000) and Au at (0.5000, 0.5000, 0.0000).


Number 1: Fermi-level density of states 10.148 states/eV/cell, V 695.90 Å³/cell, total DFT energy (no corrections) -3.8060 eV per atom. Number 2: Fermi-level density of states 1.875 states/eV/cell, V 83.48 Å³/cell, total DFT energy (no corrections) -4.4250 eV per atom. Number 3: Fermi-level density of states 5.581 states/eV/cell, V 218.04 Å³/cell, total DFT energy (no corrections) -3.9855 eV per atom. Number 4: Fermi-level density of states 14.171 states/eV/cell, V 513.64 Å³/cell, total DFT energy (no corrections) -5.5706 eV per atom. Number 5: Fermi-level density of states 12.386 states/eV/cell, V 418.75 Å³/cell, total DFT energy (no corrections) -5.0493 eV per atom. Number 6: Fermi-level density of states 9.170 states/eV/cell, V 232.01 Å³/cell, total DFT energy (no corrections) -4.7636 eV per atom. Number 7: Fermi-level density of states 3.200 states/eV/cell, V 143.69 Å³/cell, total DFT energy (no corrections) -5.2427 eV per atom. Number 8: Fermi-level density of states 5.701 states/eV/cell, V 192.20 Å³/cell, total DFT energy (no corrections) -5.1754 eV per atom.